The following is a GGA-PBE calculation of crystalline ZrTaCu2P at its relaxed geometry, from Alexandria via LeMat-Bulk.

Cell lengths 4.6434, 4.7286, 4.6434 Å; angles 90.00, 90.00, 90.00 degrees
With the nearest neighbours (Å) after each atom.
Fractional positions:
Ta  0.5000  0.5000  0.5000  4 P 3.28, 8 Cu 3.31
Zr  0.0000  0.0000  0.0000  4 Cu 2.32, 2 P 2.36
Cu  0.5000  0.0000  0.0000  2 Zr 2.32
P  0.0000  0.5000  0.0000  2 Zr 2.36
Cu  0.0000  0.0000  0.5000  2 Zr 2.32

calculated volume	102.0	Å³/f.u.
E_form	1.33	eV per atom
total DFT energy (no corrections)	-5.47	eV/atom
Fermi-level density of states	4.95	states/eV/f.u.
space group	P4/mmm
distance to the lowest polymorph of the same formula	0.916	eV/atom

The following is a GGA-PBE calculation of crystalline Ho6Ni2Ru at its relaxed geometry, from Alexandria via LeMat-Bulk.

Cell lengths 8.1491, 8.1491, 8.1491 Å; angles 108.79, 110.59, 109.04 degrees
With the nearest neighbours (Å) after each atom.
Fractional positions:
Ho  0.6923  0.3653  0.6730  3 Ni 2.68-2.86
Ho  0.3077  0.6347  0.3270  3 Ni 2.68-2.86
Ho  0.5678  0.7430  0.8248  3 Ni 2.88-3.04, 1 Ru 2.92
Ho  0.0818  0.2570  0.8248  3 Ni 2.88-3.04, 1 Ru 2.92
Ho  0.6923  0.0193  0.3270  3 Ni 2.68-2.86
Ni  0.6586  0.0000  0.6586  8 Ho 2.86-2.89, 1 Ni 2.94, 1 Ru 3.17
Ho  0.4322  0.2570  0.1752  3 Ni 2.88-3.04, 1 Ru 2.92
Ni  0.3414  0.0000  0.3414  8 Ho 2.86-2.89, 1 Ni 2.94, 1 Ru 3.17
Ru  0.0000  0.0000  0.0000  8 Ho 2.92-3.03, 2 Ni 3.17
Ho  0.8149  0.2632  0.0781  2 Ru 2.83-3.03, 2 Ni 2.89-3.13
Ho  0.1851  0.2632  0.4483  2 Ru 2.83-3.03, 2 Ni 2.89-3.13
Ho  0.3077  0.9807  0.6730  3 Ni 2.68-2.86
Ru  0.0000  0.5000  0.5000  4 Ho 2.83
Ni  0.5000  0.6196  0.1196  1 Ni 2.27
Ni  0.5000  0.3804  0.8804  1 Ni 2.27
Ho  0.1851  0.7368  0.9219  2 Ru 2.83-3.03, 2 Ni 2.89-3.13
Ho  0.8149  0.7368  0.5517  2 Ru 2.83-3.03, 2 Ni 2.89-3.13
Ho  0.9182  0.7430  0.1752  3 Ni 2.88-3.04, 1 Ru 2.92

calculated volume	208.2	Å³/f.u.
E_form	-0.32	eV per atom
total DFT energy (no corrections)	-5.69	eV/atom
Fermi-level density of states	8.18	states/eV/f.u.
space group	Immm
distance to the lowest polymorph of the same formula	0.000	eV/atom